Material: Ba2AgAu
Method: DFT, PBEsol
State: optimized geometry

```
Ba2AgAu
1.0
3.963 0.000 0.000
0.000 3.963 0.000
0.000 0.000 7.942
Ba Au Ag
2 1 1
direct
0.000 0.000 0.259
0.000 0.000 0.741
0.500 0.500 0.500
0.500 0.500 0.000
```

- DOS(E_F): 0.79 states/eV per atom
- Energy relative to the elements: -0.399 eV per atom
- Space-group type: P4/mmm (123)
- M_tot: 0.000 μB per atom
- Raw total energy: -3.2822 eV/atom